Material: Cs3SiSe4
Method: DFT, PBE
State: optimized geometry

Results
Electronic total energy = -3.703 eV/atom
Relative energy among the computed polymorphs = 0.0 meV per atom
Formation energy (no corrections) = -0.963 eV per atom
Calculated volume = 41.125 Å³ per atom
DOS at the Fermi energy = 0.52 states/eV/cell
Symmetry = Imm2 (44)

```
Cs3SiSe4
1.0
8.428 -1.333 -1.478
-5.310 6.679 1.478
-4.524 -0.944 7.323
Se Si Cs
4 1 3
Cartesian
-5.500 3.207 6.674
1.912 0.567 1.767
-4.862 4.736 3.245
-2.870 1.673 4.320
-4.834 2.819 4.524
0.069 3.542 2.809
3.255 -1.898 4.875
-0.242 0.141 6.362
```